This record from Alexandria via LeMat-Bulk describes a crystal of Be2BiN relaxed with PBEsol. The functional is SCAN.

The structure in POSCAR format:
```
Be2BiN
1.0
-4.429 -2.215 -1.895
2.309 -2.104 4.482
-2.365 0.716 4.691
Be Bi N
4 2 2
direct
0.419 0.750 0.375
0.331 0.750 0.875
0.875 0.250 0.419
0.375 0.250 0.331
0.750 0.500 0.750
0.000 0.000 0.000
0.250 0.500 0.250
0.500 0.000 0.500
```

- Uncorrected formation energy: -0.26 eV/atom
- Crystal system: tetragonal
- Symmetry: No. 122

This record from Alexandria via LeMat-Bulk describes a crystal of LaZn4Au relaxed with PBEsol. The functional is SCAN.

The structure in POSCAR format:
```
LaZn4Au
1.0
5.338 0.000 0.000
2.669 4.623 0.000
2.669 1.541 4.359
Au La Zn
1 1 4
direct
0.750 0.750 0.750
0.000 0.000 0.000
0.872 0.376 0.376
0.376 0.376 0.376
0.376 0.376 0.872
0.376 0.872 0.376
```

- Crystal system: cubic
- Formation energy from the elements: -1.5 eV per formula unit
- Symmetry: No. 216

This record from Alexandria via LeMat-Bulk describes a crystal of ZrAsBr relaxed with PBEsol. The functional is SCAN.

The structure in POSCAR format:
```
ZrAsBr
1.0
-1.644 3.368 -0.270
-0.485 -2.550 -2.717
-5.026 -2.215 2.976
As Zr Br
1 1 1
direct
0.000 0.000 0.084
0.333 0.667 0.312
0.667 0.333 0.604
```

- Uncorrected formation energy: -1.05 eV/atom
- Excess energy over the best structure of this formula in the dataset: 0 meV/atom
- Crystal system: trigonal
- Symmetry: No. 156

This record from Alexandria via LeMat-Bulk describes a crystal of OsRhW2 relaxed with PBEsol. The functional is SCAN.

The structure in POSCAR format:
```
OsRhW2
1.0
-3.094 0.138 -2.320
0.947 -3.453 -1.467
-1.080 -0.108 4.660
Os Rh W
1 1 2
direct
0.000 0.000 0.000
0.250 0.750 0.500
0.500 0.500 0.000
0.750 0.250 0.500
```

- Excess energy over the best structure of this formula in the dataset: 110 meV/atom
- Crystal system: tetragonal
- Formation energy from the elements: 0.1 eV per formula unit
- Symmetry: No. 119

This record from Alexandria via LeMat-Bulk describes a crystal of Zn2CoRe relaxed with PBEsol. The functional is SCAN.

The structure in POSCAR format:
```
Zn2CoRe
1.0
-2.105 -1.588 0.522
1.449 -1.316 1.842
-2.197 4.550 4.979
Re Zn Co
1 2 1
direct
0.500 0.500 0.726
0.000 0.000 0.001
0.500 0.500 0.270
0.000 0.000 0.503
```

- Excess energy over the best structure of this formula in the dataset: 0 meV/atom
- Crystal system: tetragonal
- Formation energy from the elements: 0.2 eV per formula unit
- Symmetry: No. 99

This record from Alexandria via LeMat-Bulk describes a crystal of PdWSCl2 relaxed with PBEsol. The functional is SCAN.

The structure in POSCAR format:
```
PdWSCl2
1.0
-1.323 -0.124 4.370
-0.067 -4.565 -0.149
4.659 -0.114 1.407
S Pd W Cl
1 1 1 2
direct
0.000 0.000 0.500
0.000 0.000 0.000
0.500 0.500 0.500
0.000 0.500 0.000
0.500 0.000 0.000
```

- Uncorrected formation energy: 0.97 eV/atom
- Crystal system: tetragonal
- Symmetry: No. 123

In order of appearance, density of states at the Fermi level = 0.388; 0.469; 0.000; 0.627; 0.505; 0.806 states/eV/atom.
In order of appearance, total magnetic moment = 0.00; 0.00; 0.00; 0.00; 0.61; 4.08 μB per cell.